## w
The following is a DFT calculation (PBE) of a relaxed La3SmRh2 crystal.

a b c (Å): 8.653 8.653 8.653
angles (deg): 132.38 72.02 129.40
Fractional coordinates of all 12 atoms:
La1 0.020 0.750 0.270
La2 0.250 0.250 0.000
La3 0.480 0.750 0.730
La4 0.520 0.250 0.270
La5 0.750 0.750 0.000
La6 0.980 0.250 0.730
Sm1 0.000 0.500 0.500
Sm2 0.500 0.000 0.500
Rh1 0.137 0.210 0.347
Rh2 0.363 0.710 0.073
Rh3 0.637 0.290 0.927
Rh4 0.863 0.790 0.653

Theoretical density: 7.10 g cm⁻³
N(E_F): 10.48 states/eV/cell
Crystal system: orthorhombic

## x
The following is a DFT calculation (PBE) of a relaxed La3SmRh2 crystal.

a b c (Å): 7.510 7.510 7.814
angles (deg): 105.11 105.11 55.92
Fractional coordinates of all 12 atoms:
La1 0.243 0.757 0.750
La2 0.276 0.279 0.889
La3 0.279 0.276 0.389
La4 0.721 0.724 0.611
La5 0.724 0.721 0.111
La6 0.757 0.243 0.250
Sm1 0.236 0.764 0.250
Sm2 0.764 0.236 0.750
Rh1 0.123 0.125 0.562
Rh2 0.125 0.123 0.062
Rh3 0.875 0.877 0.938
Rh4 0.877 0.875 0.438

Theoretical density: 7.36 g cm⁻³
N(E_F): 11.63 states/eV/cell
Crystal system: monoclinic

Most stable to least stable, the ends of the list are x and w.

## w
The following is a DFT calculation (PBE) of a relaxed LaSmZnRh crystal.

a b c (Å): 4.369 5.934 5.934
angles (deg): 39.96 90.00 90.00
Fractional coordinates of all 4 atoms:
La1 0.000 0.000 0.000
Sm1 0.500 0.726 0.726
Zn1 0.000 0.291 0.291
Rh1 0.500 0.438 0.438

Theoretical density: 7.69 g cm⁻³
N(E_F): 3.08 states/eV/cell
Crystal system: orthorhombic

## x
The following is a DFT calculation (PBE) of a relaxed LaSmZnRh crystal.

a b c (Å): 5.120 5.120 5.120
angles (deg): 60.00 60.00 60.00
Fractional coordinates of all 4 atoms:
La1 0.000 0.000 0.000
Sm1 0.500 0.500 0.500
Zn1 0.750 0.750 0.750
Rh1 0.250 0.250 0.250

Theoretical density: 8.01 g cm⁻³
N(E_F): 2.09 states/eV/cell
Crystal system: cubic

Most stable to least stable, the ends of the list are w and x.